(1)
# SnHg2H2Pd7 (GGA-PBE, optimized geometry)
# E_tot	-4.243	eV/atom
data_SnHg2H2Pd7
_symmetry_space_group_name_H-M 'P 1'
_symmetry_Int_Tables_number 1
_symmetry_space_group_name_Hall 'P 1'
_cell_length_a 4.0508
_cell_length_b 4.0508
_cell_length_c 10.9827
_cell_angle_alpha 83.32
_cell_angle_beta 83.32
_cell_angle_gamma 89.81
loop_
_atom_site_label
_atom_site_fract_x
_atom_site_fract_y
_atom_site_fract_z
Pd1 0.9429 0.4429 0.1858
Pd2 0.0571 0.5571 0.8142
Pd3 0.5571 0.0571 0.8142
Pd4 0.5000 0.5000 0.0000
Pd5 0.6114 0.6114 0.6184
Pd6 0.3886 0.3886 0.3816
Pd7 0.4429 0.9429 0.1858
Hg1 0.8838 0.8838 0.3840
Hg2 0.1162 0.1162 0.6160
Sn1 0.0000 0.0000 0.0000
H1 0.4251 0.4251 0.2069
H2 0.5749 0.5749 0.7931

(2)
# SrLaIrOs2 (GGA-PBE, optimized geometry)
# ΔH_f (0 K)	0.891	eV per atom
data_SrLaIrOs2
_symmetry_space_group_name_H-M 'P 1'
_symmetry_Int_Tables_number 1
_symmetry_space_group_name_Hall 'P 1'
_cell_length_a 4.8936
_cell_length_b 5.2331
_cell_length_c 4.8936
_cell_angle_alpha 90.00
_cell_angle_beta 90.00
_cell_angle_gamma 90.00
loop_
_atom_site_label
_atom_site_fract_x
_atom_site_fract_y
_atom_site_fract_z
Ir1 0.0000 0.0000 0.0000
Os1 0.5000 0.0000 0.0000
Os2 0.0000 0.0000 0.5000
La1 0.5000 0.5000 0.5000
Sr1 0.0000 0.5000 0.0000

(3)
# Zr3Ta4 (GGA-PBE, optimized geometry)
# ΔH_f (0 K)	0.077	eV per atom
# energy relative to the lowest polymorph listed for this composition	0	meV/atom
data_Zr3Ta4
_symmetry_space_group_name_H-M 'P 1'
_symmetry_Int_Tables_number 1
_symmetry_space_group_name_Hall 'P 1'
_cell_length_a 3.3842
_cell_length_b 12.6432
_cell_length_c 3.3842
_cell_angle_alpha 82.31
_cell_angle_beta 90.00
_cell_angle_gamma 97.69
loop_
_atom_site_label
_atom_site_fract_x
_atom_site_fract_y
_atom_site_fract_z
Zr1 0.7080 0.4159 0.2920
Zr2 0.2920 0.5841 0.7080
Zr3 0.0000 0.0000 0.0000
Ta1 0.4243 0.8486 0.5757
Ta2 0.1339 0.2677 0.8661
Ta3 0.8661 0.7323 0.1339
Ta4 0.5757 0.1514 0.4243

(4)
# DyY2Ho2Er2 (GGA-PBE, optimized geometry)
# ΔH_f (0 K)	0.139	eV per atom
data_DyY2Ho2Er2
_symmetry_space_group_name_H-M 'P 1'
_symmetry_Int_Tables_number 1
_symmetry_space_group_name_Hall 'P 1'
_cell_length_a 5.6338
_cell_length_b 5.6338
_cell_length_c 8.7291
_cell_angle_alpha 71.17
_cell_angle_beta 71.17
_cell_angle_gamma 60.00
loop_
_atom_site_label
_atom_site_fract_x
_atom_site_fract_y
_atom_site_fract_z
Ho1 0.4270 0.4270 0.7191
Ho2 0.5730 0.5730 0.2809
Er1 0.2847 0.2847 0.1458
Er2 0.7153 0.7153 0.8542
Y1 0.1422 0.1422 0.5733
Y2 0.8578 0.8578 0.4267
Dy1 0.0000 0.0000 0.0000

(5)
# BaCa2Al2P4 (GGA-PBE, optimized geometry)
# ΔH_f (0 K)	-0.870	eV per atom
data_BaCa2Al2P4
_symmetry_space_group_name_H-M 'P 1'
_symmetry_Int_Tables_number 1
_symmetry_space_group_name_Hall 'P 1'
_cell_length_a 3.9313
_cell_length_b 8.6189
_cell_length_c 8.7771
_cell_angle_alpha 123.86
_cell_angle_beta 102.94
_cell_angle_gamma 90.00
loop_
_atom_site_label
_atom_site_fract_x
_atom_site_fract_y
_atom_site_fract_z
P1 0.7688 0.8319 0.5377
P2 0.2312 0.1681 0.4623
P3 0.4879 0.2855 0.9758
P4 0.5121 0.7145 0.0242
Ba1 0.0000 0.0000 0.0000
Al1 0.6719 0.9610 0.3437
Al2 0.3281 0.0390 0.6563
Ca1 0.1095 0.5886 0.2189
Ca2 0.8905 0.4114 0.7811

(6)
# PmTaRhO6 (GGA-PBE, optimized geometry)
# E_tot	-8.175	eV/atom
data_PmTaRhO6
_symmetry_space_group_name_H-M 'P 1'
_symmetry_Int_Tables_number 1
_symmetry_space_group_name_Hall 'P 1'
_cell_length_a 4.9291
_cell_length_b 4.9291
_cell_length_c 9.7110
_cell_angle_alpha 90.00
_cell_angle_beta 90.00
_cell_angle_gamma 90.00
loop_
_atom_site_label
_atom_site_fract_x
_atom_site_fract_y
_atom_site_fract_z
O1 0.8280 0.1720 0.4996
O2 0.2903 0.2903 0.3098
O3 0.7855 0.2145 0.1866
O4 0.6720 0.6720 0.9996
O5 0.7145 0.7145 0.6866
O6 0.7903 0.2097 0.8098
O7 0.2097 0.7903 0.8098
O8 0.2145 0.7855 0.1866
O9 0.1720 0.8280 0.4996
O10 0.3280 0.3280 0.9996
O11 0.7097 0.7097 0.3098
O12 0.2855 0.2855 0.6866
Ta1 0.5000 0.5000 0.1694
Ta2 0.0000 0.0000 0.6694
Rh1 0.5000 0.5000 0.8313
Rh2 0.0000 0.0000 0.3313
Pm1 0.0000 0.0000 0.0072
Pm2 0.5000 0.5000 0.5072